Record 1
Compound: ThRe2
Source: Alexandria via LeMat-Bulk
Functional: SCAN
Structure: PBEsol geometry

The structure in CIF format:
```
data_ThRe2
_space_group_name_H-M_alt 'P 1'
_space_group_IT_number 1
_cell_length_a 5.362
_cell_length_b 5.362
_cell_length_c 9.255
_cell_angle_alpha 90.00
_cell_angle_beta 90.00
_cell_angle_gamma 120.00
loop_
_space_group_symop_operation_xyz
'x,y,z'
loop_
_atom_site_label
_atom_site_type_symbol
_atom_site_fract_x
_atom_site_fract_y
_atom_site_fract_z
Th1 Th 0.333 0.667 0.061
Th2 Th 0.333 0.667 0.439
Th3 Th 0.667 0.333 0.561
Th4 Th 0.667 0.333 0.939
Re1 Re 0.000 0.000 0.000
Re2 Re 0.000 0.000 0.500
Re3 Re 0.169 0.339 0.750
Re4 Re 0.169 0.831 0.750
Re5 Re 0.339 0.169 0.250
Re6 Re 0.661 0.831 0.750
Re7 Re 0.831 0.169 0.250
Re8 Re 0.831 0.661 0.250
```

Output
The total magnetization is 0.00 μB/atom. The value obtained for the formation enthalpy at 0 K is -0.113 eV per atom. As for the density of states at the Fermi level: 2.96 states/eV/f.u.

---

Record 2
Compound: BaTl5
Source: Alexandria via LeMat-Bulk
Functional: SCAN
Structure: PBEsol geometry

The structure in CIF format:
```
data_BaTl5
_space_group_name_H-M_alt 'P 1'
_space_group_IT_number 1
_cell_length_a 6.401
_cell_length_b 6.401
_cell_length_c 5.399
_cell_angle_alpha 90.00
_cell_angle_beta 90.00
_cell_angle_gamma 120.00
loop_
_space_group_symop_operation_xyz
'x,y,z'
loop_
_atom_site_label
_atom_site_type_symbol
_atom_site_fract_x
_atom_site_fract_y
_atom_site_fract_z
Ba1 Ba 0.000 0.000 0.000
Tl1 Tl 0.000 0.500 0.500
Tl2 Tl 0.333 0.667 0.000
Tl3 Tl 0.500 0.000 0.500
Tl4 Tl 0.500 0.500 0.500
Tl5 Tl 0.667 0.333 0.000
```

Output
The relative energy among the computed polymorphs comes out at 52.1 meV/atom. The total magnetization is 0.00 μB/atom. The value obtained for the formation enthalpy at 0 K is -0.199 eV per atom. As for the density of states at the Fermi level: 3.41 states/eV/f.u.

---

Record 3
Compound: PuNi5
Source: Alexandria via LeMat-Bulk
Functional: SCAN
Structure: PBEsol geometry

The structure in CIF format:
```
data_PuNi5
_space_group_name_H-M_alt 'P 1'
_space_group_IT_number 1
_cell_length_a 4.792
_cell_length_b 4.792
_cell_length_c 3.892
_cell_angle_alpha 90.00
_cell_angle_beta 90.00
_cell_angle_gamma 120.00
loop_
_space_group_symop_operation_xyz
'x,y,z'
loop_
_atom_site_label
_atom_site_type_symbol
_atom_site_fract_x
_atom_site_fract_y
_atom_site_fract_z
Pu1 Pu 0.000 0.000 0.000
Ni1 Ni 0.000 0.500 0.500
Ni2 Ni 0.333 0.667 0.000
Ni3 Ni 0.500 0.000 0.500
Ni4 Ni 0.500 0.500 0.500
Ni5 Ni 0.667 0.333 0.000
```

Output
The total magnetization is 0.46 μB/atom. The value obtained for the formation enthalpy at 0 K is -0.074 eV per atom. As for the density of states at the Fermi level: 15.19 states/eV/f.u.

---

Record 4
Compound: Ba4CuPb
Source: Alexandria via LeMat-Bulk
Functional: SCAN
Structure: PBEsol geometry

The structure in CIF format:
```
data_Ba4CuPb
_space_group_name_H-M_alt 'P 1'
_space_group_IT_number 1
_cell_length_a 6.950
_cell_length_b 6.950
_cell_length_c 6.950
_cell_angle_alpha 60.00
_cell_angle_beta 60.00
_cell_angle_gamma 60.00
loop_
_space_group_symop_operation_xyz
'x,y,z'
loop_
_atom_site_label
_atom_site_type_symbol
_atom_site_fract_x
_atom_site_fract_y
_atom_site_fract_z
Ba1 Ba 0.125 0.125 0.125
Ba2 Ba 0.125 0.125 0.626
Ba3 Ba 0.125 0.626 0.125
Ba4 Ba 0.626 0.125 0.125
Cu1 Cu 0.500 0.500 0.500
Pb1 Pb 0.750 0.750 0.750
```

Output
The total magnetization is 0.00 μB/atom. The value obtained for the formation enthalpy at 0 K is 0.441 eV per atom. As for the density of states at the Fermi level: 4.34 states/eV/f.u.

---

Record 5
Compound: KSn2Pd2
Source: Alexandria via LeMat-Bulk
Functional: SCAN
Structure: PBEsol geometry

The structure in CIF format:
```
data_KSn2Pd2
_space_group_name_H-M_alt 'P 1'
_space_group_IT_number 1
_cell_length_a 4.708
_cell_length_b 4.708
_cell_length_c 10.822
_cell_angle_alpha 90.00
_cell_angle_beta 90.00
_cell_angle_gamma 90.00
loop_
_space_group_symop_operation_xyz
'x,y,z'
loop_
_atom_site_label
_atom_site_type_symbol
_atom_site_fract_x
_atom_site_fract_y
_atom_site_fract_z
K1 K 0.000 0.000 0.000
K2 K 0.500 0.500 0.500
Sn1 Sn 0.000 0.000 0.359
Sn2 Sn 0.000 0.000 0.641
Sn3 Sn 0.500 0.500 0.141
Sn4 Sn 0.500 0.500 0.859
Pd1 Pd 0.000 0.500 0.250
Pd2 Pd 0.000 0.500 0.750
Pd3 Pd 0.500 0.000 0.250
Pd4 Pd 0.500 0.000 0.750
```

Output
The relative energy among the computed polymorphs comes out at 0.0 meV/atom. The total magnetization is 0.00 μB/atom. The value obtained for the formation enthalpy at 0 K is -0.448 eV per atom. As for the density of states at the Fermi level: 2.06 states/eV/f.u.

---

Record 6
Compound: Rb2CeI5
Source: Alexandria via LeMat-Bulk
Functional: SCAN
Structure: PBEsol geometry

The structure in CIF format:
```
data_Rb2CeI5
_space_group_name_H-M_alt 'P 1'
_space_group_IT_number 1
_cell_length_a 14.409
_cell_length_b 9.924
_cell_length_c 9.191
_cell_angle_alpha 90.00
_cell_angle_beta 90.00
_cell_angle_gamma 90.00
loop_
_space_group_symop_operation_xyz
'x,y,z'
loop_
_atom_site_label
_atom_site_type_symbol
_atom_site_fract_x
_atom_site_fract_y
_atom_site_fract_z
Rb1 Rb 0.171 0.008 0.073
Rb2 Rb 0.171 0.492 0.073
Rb3 Rb 0.329 0.508 0.573
Rb4 Rb 0.329 0.992 0.573
Rb5 Rb 0.671 0.008 0.427
Rb6 Rb 0.671 0.492 0.427
Rb7 Rb 0.829 0.508 0.927
Rb8 Rb 0.829 0.992 0.927
Ce1 Ce 0.006 0.250 0.577
Ce2 Ce 0.494 0.750 0.077
Ce3 Ce 0.506 0.250 0.923
Ce4 Ce 0.994 0.750 0.423
I1 I 0.007 0.250 0.926
I2 I 0.070 0.548 0.673
I3 I 0.070 0.952 0.673
I4 I 0.187 0.250 0.386
I5 I 0.207 0.750 0.348
I6 I 0.293 0.250 0.848
I7 I 0.313 0.750 0.886
I8 I 0.430 0.048 0.173
I9 I 0.430 0.452 0.173
I10 I 0.493 0.750 0.426
I11 I 0.507 0.250 0.574
I12 I 0.570 0.548 0.827
I13 I 0.570 0.952 0.827
I14 I 0.687 0.250 0.114
I15 I 0.707 0.750 0.152
I16 I 0.793 0.250 0.652
I17 I 0.813 0.750 0.614
I18 I 0.930 0.048 0.327
I19 I 0.930 0.452 0.327
I20 I 0.993 0.750 0.074
```

Output
The total magnetization is 0.13 μB/atom. The formation energy from raw total energies is -1646 meV/atom.